1.
Material: Sr4GaSi3
Method: DFT, GGA-PBE
State: relaxed

Unit cell a=4.1631 b=4.7822 c=11.5624 alpha=90.00 beta=90.00 gamma=90.00
Closest atoms and distances in Å follow each position.
Fractional positions:
Sr 0.5000 0.5000 0.1408  4 Ga 3.29, 3 Si 3.40-3.45
Sr 0.0000 0.5000 0.8575  5 Si 3.29-3.41, 2 Ga 3.37
Sr 0.0000 0.0000 0.3658  6 Si 3.28-3.30, 1 Ga 3.50
Sr 0.5000 0.0000 0.6382  7 Si 3.29-3.40
Si 0.0000 0.5000 0.5629  2 Si 2.52
Si 0.5000 0.5000 0.4395  2 Si 2.52
Si 0.5000 0.0000 0.9321  2 Ga 2.57
Ga 0.0000 0.0000 0.0631  2 Si 2.57

Values from the calculation:
- raw formation energy (kJ/mol of formula units) = -358
- total magnetization (μB per formula unit) = 0.00

---

2.
Material: SrGa2Si2
Method: DFT, GGA-PBE
State: relaxed

Unit cell a=7.8093 b=7.8093 c=3.4592 alpha=90.00 beta=90.00 gamma=90.00
Closest atoms and distances in Å follow each position.
Fractional positions:
Sr 0.0000 0.0000 0.0000  4 Si 3.14, 8 Ga 3.43, 2 Sr 3.46
Sr 0.5000 0.5000 0.0000  4 Si 3.14, 8 Ga 3.43, 2 Sr 3.46
Ga 0.3464 0.1536 0.5000  4 Si 2.73
Ga 0.1536 0.6536 0.5000  4 Si 2.73
Ga 0.8464 0.3464 0.5000  4 Si 2.73
Ga 0.6536 0.8464 0.5000  4 Si 2.73
Si 0.8852 0.6148 0.0000  1 Si 2.54, 4 Ga 2.73
Si 0.1148 0.3852 0.0000  1 Si 2.54, 4 Ga 2.73
Si 0.3852 0.8852 0.0000  1 Si 2.54, 4 Ga 2.73
Si 0.6148 0.1148 0.0000  1 Si 2.54, 4 Ga 2.73

Values from the calculation:
- raw formation energy (kJ/mol of formula units) = 8
- total magnetization (μB per formula unit) = 0.00

---

3.
Material: Sr2GaSi2
Method: DFT, GGA-PBE
State: relaxed

Unit cell a=4.4763 b=6.3073 c=10.1694 alpha=78.30 beta=77.29 gamma=69.22
Closest atoms and distances in Å follow each position.
Fractional positions:
Si 0.4008 0.0904 0.1080  1 Ga 2.51, 1 Si 2.52
Si 0.9592 0.6635 0.4181  1 Si 2.35, 2 Ga 2.54
Si 0.0408 0.3365 0.5819  1 Si 2.35, 2 Ga 2.54
Si 0.5992 0.9096 0.8920  1 Ga 2.51, 1 Si 2.52
Sr 0.1103 0.6880 0.0913  6 Si 3.15-3.51, 2 Ga 3.23
Sr 0.7197 0.2153 0.3453  7 Si 3.23-3.61, 4 Ga 3.33-3.43
Sr 0.2803 0.7847 0.6547  7 Si 3.23-3.61, 4 Ga 3.33-3.43
Sr 0.8897 0.3120 0.9087  6 Si 3.15-3.51, 2 Ga 3.23
Ga 0.5482 0.2142 0.6895  3 Si 2.51-2.54
Ga 0.4518 0.7858 0.3105  3 Si 2.51-2.54

Values from the calculation:
- raw formation energy (kJ/mol of formula units) = -197
- total magnetization (μB per formula unit) = 0.00